1.
TaC after structural relaxation, computed with PBE.

Calculated values
**Calculated volume**: 208 Å³/cell
**Relative energy among the computed polymorphs**: 0.8159 eV per atom

Lattice parameters (Å, degrees): 5.927 5.927 5.927 90.00 90.00 90.00
Fractional positions:
Ta (0.250, 0.000, 0.500)
Ta (0.750, 0.000, 0.500)
Ta (0.000, 0.500, 0.250)
Ta (0.000, 0.500, 0.750)
Ta (0.500, 0.250, 0.000)
Ta (0.500, 0.750, 0.000)
C (0.250, 0.500, 0.000)
C (0.750, 0.500, 0.000)
C (0.500, 0.000, 0.250)
C (0.500, 0.000, 0.750)
C (0.000, 0.250, 0.500)
C (0.000, 0.750, 0.500)

***

2.
Ta4C5 after structural relaxation, computed with PBE.

Calculated values
**Calculated volume**: 202 Å³/cell
**Relative energy among the computed polymorphs**: 0.0000 eV per atom

Lattice parameters (Å, degrees): 6.326 6.326 5.838 90.00 90.00 120.00
Fractional positions:
C (0.000, 0.749, 0.250)
C (0.251, 0.251, 0.250)
C (0.749, 0.000, 0.250)
C (0.000, 0.251, 0.750)
C (0.749, 0.749, 0.750)
C (0.251, 0.000, 0.750)
C (0.667, 0.333, 0.000)
C (0.333, 0.667, 0.500)
C (0.333, 0.667, 0.000)
C (0.667, 0.333, 0.500)
Ta (0.000, 0.000, 0.000)
Ta (0.000, 0.000, 0.500)
Ta (0.000, 0.415, 0.250)
Ta (0.585, 0.585, 0.250)
Ta (0.415, 0.000, 0.250)
Ta (0.000, 0.585, 0.750)
Ta (0.415, 0.415, 0.750)
Ta (0.585, 0.000, 0.750)

***

3.
Ta2C after structural relaxation, computed with PBE.

Calculated values
**Calculated volume**: 44 Å³/cell

Lattice parameters (Å, degrees): 2.986 2.986 5.735 90.00 90.00 120.00
Fractional positions:
C (0.667, 0.333, 0.500)
Ta (0.000, 0.000, 0.746)
Ta (0.000, 0.000, 0.254)

***

Calculated ΔE_f, 0.2385 0.3637 0.1303 eV per atom (same order as the records).
Calculated M_tot, 0.0 0.0 0.0 μB per formula unit (same order as the records).